Record 1
Below is a crystal of YCd2Se relaxed with PBEsol, with properties calculated at the meta-GGA SCAN level.

Lattice parameters (Å, degrees): 7.102 7.102 7.102 90.00 90.00 90.00
Space group F-43m (No. 216)
Inequivalent atoms, fractional coordinates:
1 Y 0.000 0.000 0.000
2 Cd 0.000 0.000 0.500
3 Cd 0.250 0.250 0.750
4 Se 0.250 0.250 0.250

Properties
Raw formation energy (meV/atom): -480

Record 2
Below is a crystal of CoOs relaxed with PBEsol, with properties calculated at the meta-GGA SCAN level.

Lattice parameters (Å, degrees): 2.582 9.399 3.931 90.00 90.00 90.00
Space group Cmcm (No. 63)
Inequivalent atoms, fractional coordinates:
1 Co 0.000 0.065 0.250
2 Os 0.000 0.330 0.250

Properties
Energy relative to the elements (meV/atom): 277.2

Record 3
Below is a crystal of VO2F relaxed with PBEsol, with properties calculated at the meta-GGA SCAN level.

Lattice parameters (Å, degrees): 5.042 5.052 8.844 76.12 75.67 62.12
Space group P-1 (No. 2)
Inequivalent atoms, fractional coordinates:
1 V 0.000 0.000 0.000
2 V 0.207 0.311 0.251
3 V 0.500 0.500 0.500
4 O 0.070 0.170 0.127
5 O 0.124 0.550 0.625
6 O 0.189 0.622 0.123
7 O 0.448 0.306 0.377
8 F 0.304 0.866 0.374
9 F 0.374 0.951 0.874

Properties
Raw formation energy (meV/atom): -2550

Record 4
Below is a crystal of CrMoOs2W relaxed with PBEsol, with properties calculated at the meta-GGA SCAN level.

Lattice parameters (Å, degrees): 4.629 4.629 4.411 90.00 90.00 90.00
Space group P4/mmm (No. 123)
Inequivalent atoms, fractional coordinates:
1 Cr 0.000 0.000 0.000
2 Mo 0.500 0.500 0.000
3 Os 0.000 0.500 0.500
4 W 0.000 0.000 0.500

Properties
Energy relative to the elements (meV/atom): 2042.9

Record 5
Below is a crystal of CaAlTe relaxed with PBEsol, with properties calculated at the meta-GGA SCAN level.

Lattice parameters (Å, degrees): 7.180 7.180 7.180 90.00 90.00 90.00
Space group F-43m (No. 216)
Inequivalent atoms, fractional coordinates:
1 Ca 0.000 0.000 0.000
2 Al 0.250 0.250 0.250
3 Te 0.250 0.250 0.750

Properties
Raw formation energy (meV/atom): -212
Offset from the most stable computed form (eV/f.u.): 0.78

Record 6
Below is a crystal of Li3CrO4 relaxed with PBEsol, with properties calculated at the meta-GGA SCAN level.

Lattice parameters (Å, degrees): 8.052 8.024 8.931 90.00 115.77 90.00
Space group C2/c (No. 15)
Inequivalent atoms, fractional coordinates:
1 Li 0.059 0.118 0.125
2 Li 0.183 0.376 0.369
3 Li 0.190 0.128 0.881
4 Cr 0.081 0.363 0.626
5 O 0.054 0.390 0.104
6 O 0.058 0.146 0.617
7 O 0.164 0.380 0.854
8 O 0.201 0.124 0.369

Properties
Raw formation energy (meV/atom): -2186
Offset from the most stable computed form (eV/f.u.): 0.55

Record 7
Below is a crystal of La3OsS relaxed with PBEsol, with properties calculated at the meta-GGA SCAN level.

Lattice parameters (Å, degrees): 5.271 5.271 5.271 90.00 90.00 90.00
Space group Pm-3m (No. 221)
Inequivalent atoms, fractional coordinates:
1 La 0.000 0.000 0.500
2 Os 0.500 0.500 0.500
3 S 0.000 0.000 0.000

Properties
Raw formation energy (meV/atom): -129

Record 8
Below is a crystal of YRu2Se relaxed with PBEsol, with properties calculated at the meta-GGA SCAN level.

Lattice parameters (Å, degrees): 3.190 4.510 9.184 90.00 90.00 90.00
Space group Imm2 (No. 44)
Inequivalent atoms, fractional coordinates:
1 Y 0.000 0.000 0.000
2 Ru 0.000 0.000 0.522
3 Ru 0.000 0.500 0.774
4 Se 0.000 0.500 0.235

Properties
Raw formation energy (meV/atom): -108

Record 9
Below is a crystal of Ti2TlHBr relaxed with PBEsol, with properties calculated at the meta-GGA SCAN level.

Lattice parameters (Å, degrees): 4.635 4.635 5.896 90.00 90.00 90.00
Space group P4/mmm (No. 123)
Inequivalent atoms, fractional coordinates:
1 Ti 0.000 0.500 0.000
2 Tl 0.000 0.000 0.500
3 H 0.500 0.500 0.500
4 Br 0.000 0.000 0.000

Record 10
Below is a crystal of CsTe relaxed with PBEsol, with properties calculated at the meta-GGA SCAN level.

Lattice parameters (Å, degrees): 6.037 11.402 4.958 90.00 90.00 90.00
Space group Pbam (No. 55)
Inequivalent atoms, fractional coordinates:
1 Cs 0.168 0.137 0.000
2 Te 0.138 0.401 0.500

Properties
Raw formation energy (meV/atom): -1036

Record 11
Below is a crystal of AlBi3As relaxed with PBEsol, with properties calculated at the meta-GGA SCAN level.

Lattice parameters (Å, degrees): 5.491 5.491 5.491 90.00 90.00 90.00
Space group Pm-3m (No. 221)
Inequivalent atoms, fractional coordinates:
1 Al 0.000 0.000 0.000
2 Bi 0.000 0.500 0.500
3 As 0.500 0.500 0.500

Properties
Energy relative to the elements (meV/atom): 797.0

Record 12
Below is a crystal of ScAu5 relaxed with PBEsol, with properties calculated at the meta-GGA SCAN level.

Lattice parameters (Å, degrees): 3.521 3.521 8.485 90.00 90.00 90.00
Space group P4/mmm (No. 123)
Inequivalent atoms, fractional coordinates:
1 Sc 0.000 0.000 0.000
2 Au 0.000 0.000 0.333
3 Au 0.500 0.500 0.168
4 Au 0.500 0.500 0.500

Properties
Energy relative to the elements (meV/atom): -496.2

Record 13
Below is a crystal of NiSe2Br relaxed with PBEsol, with properties calculated at the meta-GGA SCAN level.

Lattice parameters (Å, degrees): 4.548 3.596 5.139 90.00 108.25 90.00
Space group P2/m (No. 10)
Inequivalent atoms, fractional coordinates:
1 Ni 0.000 0.000 0.000
2 Se 0.346 0.500 0.151
3 Br 0.000 0.000 0.500

Properties
Raw formation energy (meV/atom): -272
Offset from the most stable computed form (eV/f.u.): 0.02

Record 14
Below is a crystal of LiIn2Re relaxed with PBEsol, with properties calculated at the meta-GGA SCAN level.

Lattice parameters (Å, degrees): 3.239 4.439 9.550 90.00 90.00 90.00
Space group Imm2 (No. 44)
Inequivalent atoms, fractional coordinates:
1 Li 0.000 0.000 0.000
2 In 0.000 0.000 0.480
3 In 0.000 0.500 0.244
4 Re 0.000 0.500 0.734

Properties
Energy relative to the elements (meV/atom): 275.4

Record 15
Below is a crystal of BaCaNiF7 relaxed with PBEsol, with properties calculated at the meta-GGA SCAN level.

Lattice parameters (Å, degrees): 5.534 10.801 9.178 90.00 93.71 90.00
Space group P2_1/c (No. 14)
Inequivalent atoms, fractional coordinates:
1 Ba 0.225 0.156 0.475
2 Ca 0.234 0.576 0.367
3 Ni 0.306 0.658 0.701
4 F 0.022 0.744 0.783
5 F 0.123 0.522 0.145
6 F 0.130 0.532 0.612
7 F 0.232 0.746 0.539
8 F 0.391 0.561 0.854
9 F 0.419 0.105 0.918
10 F 0.497 0.216 0.222

Properties
Raw formation energy (meV/atom): -3310

Record 16
Below is a crystal of AgGe2Rh2 relaxed with PBEsol, with properties calculated at the meta-GGA SCAN level.

Lattice parameters (Å, degrees): 3.742 3.742 11.389 90.00 90.00 90.00
Space group I4/mmm (No. 139)
Inequivalent atoms, fractional coordinates:
1 Ag 0.000 0.000 0.000
2 Ge 0.000 0.500 0.250
3 Rh 0.000 0.000 0.387

Properties
Energy relative to the elements (meV/atom): -259.5

Record 17
Below is a crystal of LaZrTa2 relaxed with PBEsol, with properties calculated at the meta-GGA SCAN level.

Lattice parameters (Å, degrees): 3.407 4.859 9.950 90.00 90.00 90.00
Space group Immm (No. 71)
Inequivalent atoms, fractional coordinates:
1 La 0.000 0.000 0.000
2 Zr 0.000 0.000 0.500
3 Ta 0.000 0.500 0.249

Properties
Energy relative to the elements (meV/atom): 503.1
Offset from the most stable computed form (eV/f.u.): 0.23

Record 18
Below is a crystal of IrPt4 relaxed with PBEsol, with properties calculated at the meta-GGA SCAN level.

Lattice parameters (Å, degrees): 6.159 6.159 3.899 90.00 90.00 90.00
Space group I4/m (No. 87)
Inequivalent atoms, fractional coordinates:
1 Ir 0.000 0.000 0.000
2 Pt 0.101 0.298 0.500

Properties
Energy relative to the elements (meV/atom): 80.9

Record 19
Below is a crystal of Ta2InCl relaxed with PBEsol, with properties calculated at the meta-GGA SCAN level.

Lattice parameters (Å, degrees): 2.948 4.932 5.153 90.00 90.00 90.00
Space group Pmmm (No. 47)
Inequivalent atoms, fractional coordinates:
1 Ta 0.000 0.000 0.000
2 Ta 0.500 0.000 0.500
3 In 0.000 0.500 0.500
4 Cl 0.500 0.500 0.000

Properties
Raw formation energy (meV/atom): 422
Offset from the most stable computed form (eV/f.u.): 2.15

Record 20
Below is a crystal of LaScZn relaxed with PBEsol, with properties calculated at the meta-GGA SCAN level.

Lattice parameters (Å, degrees): 3.491 3.491 11.894 90.00 90.00 90.00
Space group I4mm (No. 107)
Inequivalent atoms, fractional coordinates:
1 La 0.000 0.000 0.000
2 Sc 0.000 0.000 0.289
3 Zn 0.000 0.000 0.676

Properties
Energy relative to the elements (meV/atom): -225.1
Offset from the most stable computed form (eV/f.u.): 0.00

Record 21
Below is a crystal of CsBi2Pb2 relaxed with PBEsol, with properties calculated at the meta-GGA SCAN level.

Lattice parameters (Å, degrees): 9.868 9.868 3.614 90.00 90.00 90.00
Space group P4/mbm (No. 127)
Inequivalent atoms, fractional coordinates:
1 Cs 0.000 0.000 0.000
2 Bi 0.165 0.335 0.500
3 Pb 0.119 0.619 0.000

Properties
Energy relative to the elements (meV/atom): -148.2
Offset from the most stable computed form (eV/f.u.): 0.67

Record 22
Below is a crystal of CrSb3P relaxed with PBEsol, with properties calculated at the meta-GGA SCAN level.

Lattice parameters (Å, degrees): 4.871 4.871 4.871 90.00 90.00 90.00
Space group Pm-3m (No. 221)
Inequivalent atoms, fractional coordinates:
1 Cr 0.000 0.000 0.000
2 Sb 0.000 0.000 0.500
3 P 0.500 0.500 0.500

Properties
Raw formation energy (meV/atom): 698

Record 23
Below is a crystal of SrMgSb2 relaxed with PBEsol, with properties calculated at the meta-GGA SCAN level.

Lattice parameters (Å, degrees): 4.946 4.946 4.417 90.00 90.00 90.00
Space group P4/mmm (No. 123)
Inequivalent atoms, fractional coordinates:
1 Sr 0.000 0.000 0.000
2 Mg 0.500 0.500 0.000
3 Sb 0.000 0.500 0.500

Properties
Raw formation energy (meV/atom): -544

Record 24
Below is a crystal of BeHg2Mo relaxed with PBEsol, with properties calculated at the meta-GGA SCAN level.

Lattice parameters (Å, degrees): 2.794 2.794 8.512 90.00 90.00 90.00
Space group P4mm (No. 99)
Inequivalent atoms, fractional coordinates:
1 Be 0.000 0.000 0.000
2 Hg 0.000 0.000 0.547
3 Hg 0.500 0.500 0.224
4 Mo 0.500 0.500 0.811

Properties
Energy relative to the elements (meV/atom): 431.9

Record 25
Below is a crystal of ZnFeNi2 relaxed with PBEsol, with properties calculated at the meta-GGA SCAN level.

Lattice parameters (Å, degrees): 2.543 4.124 4.258 90.00 90.00 90.00
Space group Pmm2 (No. 25)
Inequivalent atoms, fractional coordinates:
1 Zn 0.000 0.000 0.000
2 Fe 0.000 0.500 0.627
3 Ni 0.500 0.000 0.497
4 Ni 0.500 0.500 0.133

Properties
Energy relative to the elements (meV/atom): -111.9

| no. | total magnetization (Bohr magnetons per cell) | uncorrected energy (Ha/atom) |
| --- | --- | --- |
| 1 | 0.000 | -1.0168 |
| 2 | 0.017 | -1.6285 |
| 3 | 0.000 | -0.4014 |
| 4 | 0.932 | -1.8853 |
| 5 | 3.831 | -0.6774 |
| 6 | 8.000 | -0.3122 |
| 7 | 0.000 | -1.5543 |
| 8 | 0.001 | -1.0841 |
| 9 | 0.058 | -0.8898 |
| 10 | 0.000 | -1.4173 |
| 11 | 0.000 | -1.9087 |
| 12 | 0.000 | -2.2233 |
| 13 | 0.000 | -0.7063 |
| 14 | 1.258 | -1.2785 |
| 15 | 4.000 | -0.4530 |
| 16 | 0.000 | -1.0171 |
| 17 | 0.000 | -1.8830 |
| 18 | 0.000 | -2.5832 |
| 19 | 0.000 | -1.5880 |
| 20 | 0.004 | -0.8763 |
| 21 | 0.000 | -2.5524 |
| 22 | 0.290 | -1.0075 |
| 23 | 0.000 | -0.9550 |
| 24 | 0.000 | -1.5972 |
| 25 | 3.864 | -0.5920 |